i:
This record from Alexandria via LeMat-Bulk describes a relaxed ReSnW3 crystal. The functional is PBE-GGA.

Lattice parameters (Å, degrees): 4.795 4.795 4.795 90.00 90.00 90.00
Fractional positions:
Re 0.000 0.000 0.000
Sn 0.500 0.500 0.500
W 0.000 0.000 0.500
W 0.000 0.500 0.000
W 0.500 0.000 0.000

Output
M_tot	0.00	μB per formula unit
symmetry	Pm-3m (221)

=====

ii:
This record from Alexandria via LeMat-Bulk describes a relaxed ReSnW3 crystal. The functional is PBE-GGA.

Lattice parameters (Å, degrees): 4.767 4.767 4.767 90.00 90.00 90.00
Fractional positions:
Re 0.000 0.000 0.000
Sn 0.500 0.500 0.500
W 0.000 0.500 0.500
W 0.500 0.000 0.500
W 0.500 0.500 0.000

Output
M_tot	0.35	μB per formula unit
symmetry	Pm-3m (221)

=====

Which structure is most stable, and how do the rest compare? From most to least stable: i, ii.

=====

i:
This record from Alexandria via LeMat-Bulk describes a relaxed YReSn2 crystal. The functional is PBE-GGA.

Lattice parameters (Å, degrees): 6.945 6.945 6.945 90.00 90.00 90.00
Fractional positions:
Y 0.000 0.000 0.000
Y 0.000 0.500 0.500
Y 0.500 0.000 0.500
Y 0.500 0.500 0.000
Re 0.000 0.000 0.500
Re 0.000 0.500 0.000
Re 0.500 0.000 0.000
Re 0.500 0.500 0.500
Sn 0.250 0.250 0.250
Sn 0.250 0.250 0.750
Sn 0.250 0.750 0.250
Sn 0.250 0.750 0.750
Sn 0.750 0.250 0.250
Sn 0.750 0.250 0.750
Sn 0.750 0.750 0.250
Sn 0.750 0.750 0.750

Output
M_tot	0.00	μB per formula unit
symmetry	Fm-3m (225)

=====

ii:
This record from Alexandria via LeMat-Bulk describes a relaxed YReSn2 crystal. The functional is PBE-GGA.

Lattice parameters (Å, degrees): 4.262 4.262 20.908 90.00 90.00 90.00
Fractional positions:
Y 0.000 0.000 0.000
Y 0.000 0.500 0.250
Y 0.500 0.000 0.750
Y 0.500 0.500 0.500
Re 0.000 0.000 0.500
Re 0.000 0.500 0.750
Re 0.500 0.000 0.250
Re 0.500 0.500 0.000
Sn 0.237 0.250 0.625
Sn 0.250 0.737 0.875
Sn 0.250 0.763 0.375
Sn 0.263 0.250 0.125
Sn 0.737 0.750 0.125
Sn 0.750 0.237 0.375
Sn 0.750 0.263 0.875
Sn 0.763 0.750 0.625

Output
M_tot	0.00	μB per formula unit
symmetry	I-42d (122)

=====

Which structure is most stable, and how do the rest compare? From most to least stable: i, ii.

=====

i:
This record from Alexandria via LeMat-Bulk describes a relaxed ZnRe2Sn crystal. The functional is PBE-GGA.

Lattice parameters (Å, degrees): 6.347 6.347 6.347 90.00 90.00 90.00
Fractional positions:
Zn 0.000 0.000 0.000
Zn 0.000 0.500 0.500
Zn 0.500 0.000 0.500
Zn 0.500 0.500 0.000
Re 0.250 0.250 0.250
Re 0.250 0.250 0.750
Re 0.250 0.750 0.250
Re 0.250 0.750 0.750
Re 0.750 0.250 0.250
Re 0.750 0.250 0.750
Re 0.750 0.750 0.250
Re 0.750 0.750 0.750
Sn 0.000 0.000 0.500
Sn 0.000 0.500 0.000
Sn 0.500 0.000 0.000
Sn 0.500 0.500 0.500

Output
M_tot	0.00	μB per formula unit
symmetry	Fm-3m (225)

=====

ii:
This record from Alexandria via LeMat-Bulk describes a relaxed ZnRe2Sn crystal. The functional is PBE-GGA.

Lattice parameters (Å, degrees): 3.957 3.957 18.877 90.00 90.00 90.00
Fractional positions:
Zn 0.000 0.000 0.000
Zn 0.000 0.500 0.250
Zn 0.500 0.000 0.750
Zn 0.500 0.500 0.500
Re 0.180 0.250 0.125
Re 0.250 0.680 0.375
Re 0.250 0.820 0.875
Re 0.320 0.250 0.625
Re 0.680 0.750 0.625
Re 0.750 0.180 0.875
Re 0.750 0.320 0.375
Re 0.820 0.750 0.125
Sn 0.000 0.000 0.500
Sn 0.000 0.500 0.750
Sn 0.500 0.000 0.250
Sn 0.500 0.500 0.000

Output
M_tot	0.00	μB per formula unit
symmetry	I-42d (122)

=====

Which structure is most stable, and how do the rest compare? From most to least stable: ii, i.

=====

i:
This record from Alexandria via LeMat-Bulk describes a relaxed ZnRe3Sn crystal. The functional is PBE-GGA.

Lattice parameters (Å, degrees): 4.544 4.544 4.544 90.00 90.00 90.00
Fractional positions:
Zn 0.000 0.000 0.000
Re 0.000 0.000 0.500
Re 0.000 0.500 0.000
Re 0.500 0.000 0.000
Sn 0.500 0.500 0.500

Output
M_tot	1.93	μB per formula unit
symmetry	Pm-3m (221)

=====

ii:
This record from Alexandria via LeMat-Bulk describes a relaxed ZnRe3Sn crystal. The functional is PBE-GGA.

Lattice parameters (Å, degrees): 4.856 4.856 4.856 90.00 90.00 90.00
Fractional positions:
Zn 0.000 0.000 0.000
Re 0.000 0.500 0.500
Re 0.500 0.000 0.500
Re 0.500 0.500 0.000
Sn 0.500 0.500 0.500

Output
M_tot	2.86	μB per formula unit
symmetry	Pm-3m (221)

=====

Which structure is most stable, and how do the rest compare? From most to least stable: i, ii.

=====

i:
This record from Alexandria via LeMat-Bulk describes a relaxed ZnReSn3 crystal. The functional is PBE-GGA.

Lattice parameters (Å, degrees): 5.097 5.097 5.097 90.00 90.00 90.00
Fractional positions:
Zn 0.000 0.000 0.000
Re 0.500 0.500 0.500
Sn 0.000 0.000 0.500
Sn 0.000 0.500 0.000
Sn 0.500 0.000 0.000

Output
M_tot	3.20	μB per formula unit
symmetry	Pm-3m (221)

=====

ii:
This record from Alexandria via LeMat-Bulk describes a relaxed ZnReSn3 crystal. The functional is PBE-GGA.

Lattice parameters (Å, degrees): 5.215 5.215 5.215 90.00 90.00 90.00
Fractional positions:
Zn 0.000 0.000 0.000
Re 0.500 0.500 0.500
Sn 0.000 0.500 0.500
Sn 0.500 0.000 0.500
Sn 0.500 0.500 0.000

Output
M_tot	0.00	μB per formula unit
symmetry	Pm-3m (221)

=====

Which structure is most stable, and how do the rest compare? From most to least stable: ii, i.

=====

i:
This record from Alexandria via LeMat-Bulk describes a relaxed ZrRe2Sn2 crystal. The functional is PBE-GGA.

Lattice parameters (Å, degrees): 3.732 3.732 14.943 90.00 90.00 90.00
Fractional positions:
Zr 0.000 0.000 0.000
Zr 0.500 0.500 0.500
Re 0.000 0.500 0.250
Re 0.000 0.500 0.750
Re 0.500 0.000 0.250
Re 0.500 0.000 0.750
Sn 0.000 0.000 0.392
Sn 0.000 0.000 0.608
Sn 0.500 0.500 0.108
Sn 0.500 0.500 0.892

Output
M_tot	0.00	μB per formula unit
symmetry	I4/mmm (139)

=====

ii:
This record from Alexandria via LeMat-Bulk describes a relaxed ZrRe2Sn2 crystal. The functional is PBE-GGA.

Lattice parameters (Å, degrees): 7.924 7.924 3.029 90.00 90.00 90.00
Fractional positions:
Zr 0.000 0.000 0.000
Zr 0.500 0.500 0.000
Re 0.150 0.350 0.500
Re 0.350 0.850 0.500
Re 0.650 0.150 0.500
Re 0.850 0.650 0.500
Sn 0.146 0.646 0.000
Sn 0.354 0.146 0.000
Sn 0.646 0.854 0.000
Sn 0.854 0.354 0.000

Output
M_tot	0.00	μB per formula unit
symmetry	P4/mbm (127)

=====

Which structure is most stable, and how do the rest compare? From most to least stable: ii, i.

=====

i:
This record from Alexandria via LeMat-Bulk describes a relaxed ZrReSn2 crystal. The functional is PBE-GGA.

Lattice parameters (Å, degrees): 4.130 4.130 20.566 90.00 90.00 90.00
Fractional positions:
Zr 0.000 0.000 0.000
Zr 0.000 0.500 0.250
Zr 0.500 0.000 0.750
Zr 0.500 0.500 0.500
Re 0.000 0.000 0.500
Re 0.000 0.500 0.750
Re 0.500 0.000 0.250
Re 0.500 0.500 0.000
Sn 0.246 0.250 0.625
Sn 0.250 0.746 0.875
Sn 0.250 0.754 0.375
Sn 0.254 0.250 0.125
Sn 0.746 0.750 0.125
Sn 0.750 0.246 0.375
Sn 0.750 0.254 0.875
Sn 0.754 0.750 0.625

Output
M_tot	0.00	μB per formula unit
symmetry	I-42d (122)

=====

ii:
This record from Alexandria via LeMat-Bulk describes a relaxed ZrReSn2 crystal. The functional is PBE-GGA.

Lattice parameters (Å, degrees): 6.808 6.808 6.808 90.00 90.00 90.00
Fractional positions:
Zr 0.000 0.000 0.000
Zr 0.000 0.500 0.500
Zr 0.500 0.000 0.500
Zr 0.500 0.500 0.000
Re 0.000 0.000 0.500
Re 0.000 0.500 0.000
Re 0.500 0.000 0.000
Re 0.500 0.500 0.500
Sn 0.250 0.250 0.250
Sn 0.250 0.250 0.750
Sn 0.250 0.750 0.250
Sn 0.250 0.750 0.750
Sn 0.750 0.250 0.250
Sn 0.750 0.250 0.750
Sn 0.750 0.750 0.250
Sn 0.750 0.750 0.750

Output
M_tot	0.00	μB per formula unit
symmetry	Fm-3m (225)

=====

Which structure is most stable, and how do the rest compare? From most to least stable: ii, i.

=====

i:
This record from Alexandria via LeMat-Bulk describes a relaxed Sr2Re crystal. The functional is PBE-GGA.

Lattice parameters (Å, degrees): 7.891 8.067 3.156 90.00 90.00 90.00
Fractional positions:
Sr 0.216 0.188 0.000
Sr 0.284 0.688 0.500
Sr 0.716 0.312 0.500
Sr 0.784 0.812 0.000
Re 0.000 0.500 0.000
Re 0.500 0.000 0.500

Output
M_tot	0.25	μB per formula unit
symmetry	Pnnm (58)

=====

ii:
This record from Alexandria via LeMat-Bulk describes a relaxed Sr2Re crystal. The functional is PBE-GGA.

Lattice parameters (Å, degrees): 12.845 3.883 9.249 90.00 113.18 90.00
Fractional positions:
Sr 0.002 0.000 0.189
Sr 0.178 0.500 0.649
Sr 0.322 0.000 0.351
Sr 0.498 0.500 0.811
Sr 0.502 0.500 0.189
Sr 0.678 0.000 0.649
Sr 0.822 0.500 0.351
Sr 0.998 0.000 0.811
Re 0.211 0.500 0.037
Re 0.289 0.000 0.963
Re 0.711 0.000 0.037
Re 0.789 0.500 0.963

Output
M_tot	0.00	μB per formula unit
symmetry	C2/m (12)

=====

Which structure is most stable, and how do the rest compare? From most to least stable: ii, i.

=====

i:
This record from Alexandria via LeMat-Bulk describes a relaxed Sr2TaRe crystal. The functional is PBE-GGA.

Lattice parameters (Å, degrees): 7.503 4.330 9.176 90.00 105.68 90.00
Fractional positions:
Sr 0.000 0.000 0.000
Sr 0.176 0.000 0.533
Sr 0.500 0.500 0.000
Sr 0.676 0.500 0.533
Ta 0.421 0.000 0.267
Ta 0.921 0.500 0.267
Re 0.254 0.500 0.267
Re 0.754 0.000 0.267

Output
M_tot	0.00	μB per formula unit
symmetry	Cm (8)

=====

ii:
This record from Alexandria via LeMat-Bulk describes a relaxed Sr2TaRe crystal. The functional is PBE-GGA.

Lattice parameters (Å, degrees): 5.821 10.921 2.913 90.00 91.96 90.00
Fractional positions:
Sr 0.250 0.250 0.000
Sr 0.250 0.750 0.000
Sr 0.750 0.250 0.000
Sr 0.750 0.750 0.000
Ta 0.000 0.000 0.500
Ta 0.500 0.500 0.500
Re 0.000 0.500 0.500
Re 0.500 0.000 0.500

Output
M_tot	0.00	μB per formula unit
symmetry	C2/m (12)

=====

Which structure is most stable, and how do the rest compare? From most to least stable: i, ii.

=====

i:
This record from Alexandria via LeMat-Bulk describes a relaxed Sr2TaRe crystal. The functional is PBE-GGA.

Lattice parameters (Å, degrees): 18.956 3.382 4.063 90.00 102.32 90.00
Fractional positions:
Sr 0.151 0.000 0.151
Sr 0.349 0.500 0.849
Sr 0.651 0.500 0.151
Sr 0.849 0.000 0.849
Ta 0.000 0.000 0.500
Ta 0.500 0.500 0.500
Re 0.000 0.500 0.000
Re 0.500 0.000 0.000

Output
M_tot	0.02	μB per formula unit
symmetry	C2/m (12)

=====

ii:
This record from Alexandria via LeMat-Bulk describes a relaxed Sr2TaRe crystal. The functional is PBE-GGA.

Lattice parameters (Å, degrees): 3.601 5.745 10.951 90.00 90.00 90.00
Fractional positions:
Sr 0.000 0.000 0.000
Sr 0.000 0.500 0.204
Sr 0.500 0.000 0.704
Sr 0.500 0.500 0.500
Ta 0.000 0.500 0.796
Ta 0.500 0.000 0.296
Re 0.000 0.000 0.448
Re 0.500 0.500 0.948

Output
M_tot	0.00	μB per formula unit
symmetry	Imm2 (44)

=====

iii:
This record from Alexandria via LeMat-Bulk describes a relaxed Sr2TaRe crystal. The functional is PBE-GGA.

Lattice parameters (Å, degrees): 11.742 11.742 4.752 90.00 90.00 90.00
Fractional positions:
Sr 0.081 0.750 0.125
Sr 0.250 0.081 0.875
Sr 0.250 0.419 0.375
Sr 0.419 0.750 0.625
Sr 0.581 0.250 0.625
Sr 0.750 0.581 0.375
Sr 0.750 0.919 0.875
Sr 0.919 0.250 0.125
Ta 0.000 0.000 0.500
Ta 0.000 0.500 0.750
Ta 0.500 0.000 0.250
Ta 0.500 0.500 0.000
Re 0.000 0.000 0.000
Re 0.000 0.500 0.250
Re 0.500 0.000 0.750
Re 0.500 0.500 0.500

Output
M_tot	0.00	μB per formula unit
symmetry	I-42d (122)

=====

iv:
This record from Alexandria via LeMat-Bulk describes a relaxed Sr2TaRe crystal. The functional is PBE-GGA.

Lattice parameters (Å, degrees): 7.222 7.222 7.222 90.00 90.00 90.00
Fractional positions:
Sr 0.000 0.000 0.000
Sr 0.000 0.500 0.500
Sr 0.250 0.250 0.250
Sr 0.250 0.750 0.750
Sr 0.500 0.000 0.500
Sr 0.500 0.500 0.000
Sr 0.750 0.250 0.750
Sr 0.750 0.750 0.250
Ta 0.000 0.000 0.500
Ta 0.000 0.500 0.000
Ta 0.500 0.000 0.000
Ta 0.500 0.500 0.500
Re 0.250 0.250 0.750
Re 0.250 0.750 0.250
Re 0.750 0.250 0.250
Re 0.750 0.750 0.750

Output
M_tot	0.00	μB per formula unit
symmetry	F-43m (216)

=====

Which structure is most stable, and how do the rest compare? From most to least stable: i, ii, iv, iii.

=====

i:
This record from Alexandria via LeMat-Bulk describes a relaxed Sr2TaRe crystal. The functional is PBE-GGA.

Lattice parameters (Å, degrees): 2.913 5.451 5.832 90.00 92.52 90.00
Fractional positions:
Sr 0.007 0.000 0.255
Sr 0.993 0.000 0.745
Ta 0.500 0.500 0.000
Re 0.500 0.500 0.500

Output
M_tot	0.00	μB per formula unit
symmetry	P2/m (10)

=====

ii:
This record from Alexandria via LeMat-Bulk describes a relaxed Sr2TaRe crystal. The functional is PBE-GGA.

Lattice parameters (Å, degrees): 4.099 4.099 5.487 90.00 90.00 90.00
Fractional positions:
Sr 0.000 0.500 0.000
Sr 0.500 0.000 0.000
Ta 0.000 0.000 0.500
Re 0.500 0.500 0.500

Output
M_tot	0.00	μB per formula unit
symmetry	P4/mmm (123)

=====

Which structure is most stable, and how do the rest compare? From most to least stable: ii, i.

=====

i:
This record from Alexandria via LeMat-Bulk describes a relaxed Sr2TaRe crystal. The functional is PBE-GGA.

Lattice parameters (Å, degrees): 3.488 3.488 9.701 90.00 90.00 90.00
Fractional positions:
Sr 0.000 0.000 0.000
Sr 0.500 0.500 0.391
Ta 0.000 0.000 0.657
Re 0.500 0.500 0.758

Output
M_tot	0.00	μB per formula unit
symmetry	P4mm (99)

=====

ii:
This record from Alexandria via LeMat-Bulk describes a relaxed Sr2TaRe crystal. The functional is PBE-GGA.

Lattice parameters (Å, degrees): 2.929 2.929 10.951 90.00 90.00 90.00
Fractional positions:
Sr 0.000 0.000 0.236
Sr 0.000 0.000 0.764
Ta 0.500 0.500 0.500
Re 0.500 0.500 0.000

Output
M_tot	0.00	μB per formula unit
symmetry	P4/mmm (123)

=====

Which structure is most stable, and how do the rest compare? From most to least stable: i, ii.